No. 1
The following is a GGA-PBE calculation of crystalline ZnP2 at its relaxed geometry, from Alexandria.

The calculation puts the uncorrected energy at -4.09 eV per atom. As for the formation enthalpy at 0 K: -0.06 eV per atom. The calculation puts the volume at 20.3 A^3/atom. Its density of states at the Fermi level is 5.7 states/eV/cell.

The structure belongs to space group P2_1/c (No. 14); the cell edges are 8.8834, 7.3573 and 7.6490 Å and the angles 90.00°, 103.12° and 90.00°. Symmetry generates all atoms from Zn at (0.0774, 0.2392, 0.1461), Zn at (0.3864, 0.5866, 0.4732), P at (0.0828, 0.7477, 0.6461), P at (0.2338, 0.5115, 0.1810), P at (0.2438, 0.5170, 0.6938) and P at (0.3827, 0.5817, 0.9755).

=====

No. 2
The following is a GGA-PBE calculation of crystalline ZnP3 at its relaxed geometry, from Alexandria.

The calculation puts the uncorrected energy at -3.69 eV per atom. As for the formation enthalpy at 0 K: 0.68 eV per atom. The calculation puts the volume at 15.2 A^3/atom. Its density of states at the Fermi level is 2.1 states/eV/cell.

The structure belongs to space group Pm-3n (No. 223); the cell edges are 4.9534, 4.9534 and 4.9534 Å and the angles 90.00°, 90.00° and 90.00°. Symmetry generates all atoms from Zn at (0.0000, 0.0000, 0.0000) and P at (0.0000, 0.2500, 0.5000).

=====

No. 3
The following is a GGA-PBE calculation of crystalline ZnP2 at its relaxed geometry, from Alexandria.

The calculation puts the uncorrected energy at -3.93 eV per atom. As for the formation enthalpy at 0 K: 0.10 eV per atom. The calculation puts the volume at 16.2 A^3/atom. Its density of states at the Fermi level is 3.9 states/eV/cell.

The structure belongs to space group Cmcm (No. 63); the cell edges are 3.2931, 11.7654 and 5.0077 Å and the angles 90.00°, 90.00° and 90.00°. Symmetry generates all atoms from Zn at (0.0000, 0.1727, 0.2500), P at (0.0000, 0.1394, 0.7500) and P at (0.0000, 0.4955, 0.2500).

=====

No. 4
The following is a GGA-PBE calculation of crystalline Zn2P at its relaxed geometry, from Alexandria.

The calculation puts the uncorrected energy at -2.38 eV per atom. As for the formation enthalpy at 0 K: 0.27 eV per atom. The calculation puts the volume at 15.5 A^3/atom. Its density of states at the Fermi level is 2.0 states/eV/cell.

The structure belongs to space group Immm (No. 71); the cell edges are 2.8759, 3.7884 and 8.5621 Å and the angles 90.00°, 90.00° and 90.00°. Symmetry generates all atoms from Zn at (0.0000, 0.0000, 0.1654) and P at (0.0000, 0.0000, 0.5000).

=====

No. 5
The following is a GGA-PBE calculation of crystalline Zn2P at its relaxed geometry, from Alexandria.

The calculation puts the uncorrected energy at -2.51 eV per atom. As for the formation enthalpy at 0 K: 0.15 eV per atom. The calculation puts the volume at 17.0 A^3/atom. Its density of states at the Fermi level is 2.4 states/eV/cell.

The structure belongs to space group P6_3/mmc (No. 194); the cell edges are 3.7882, 3.7882 and 8.1903 Å and the angles 90.00°, 90.00° and 120.00°. Symmetry generates all atoms from Zn at (0.3333, 0.6667, 0.0943) and P at (0.0000, 0.0000, 0.2500).

=====

No. 6
The following is a GGA-PBE calculation of crystalline ZnP8 at its relaxed geometry, from Alexandria.

The calculation puts the uncorrected energy at -4.47 eV per atom. As for the formation enthalpy at 0 K: 0.48 eV per atom. The calculation puts the volume at 23.9 A^3/atom. Its density of states at the Fermi level is 6.6 states/eV/cell.

The structure belongs to space group I4/mmm (No. 139); the cell edges are 10.2520, 10.2520 and 4.0980 Å and the angles 90.00°, 90.00° and 90.00°. Symmetry generates all atoms from Zn at (0.0000, 0.0000, 0.0000), P at (0.0000, 0.3955, 0.0000) and P at (0.1090, 0.1090, 0.5000).

=====

No. 7
The following is a GGA-PBE calculation of crystalline ZnP2 at its relaxed geometry, from Alexandria.

The calculation puts the uncorrected energy at -3.89 eV per atom. As for the formation enthalpy at 0 K: 0.14 eV per atom. The calculation puts the volume at 18.7 A^3/atom. Its density of states at the Fermi level is 0.7 states/eV/cell.

The structure belongs to space group Pnma (No. 62); the cell edges are 5.6588, 3.8433 and 10.3040 Å and the angles 90.00°, 90.00° and 90.00°. Symmetry generates all atoms from Zn at (0.1052, 0.2500, 0.0845), P at (0.1224, 0.2500, 0.6142) and P at (0.1798, 0.2500, 0.4088).

=====

No. 8
The following is a GGA-PBE calculation of crystalline Zn4P at its relaxed geometry, from Alexandria.

The calculation puts the uncorrected energy at -1.95 eV per atom. As for the formation enthalpy at 0 K: 0.15 eV per atom. The calculation puts the volume at 15.5 A^3/atom. Its density of states at the Fermi level is 3.1 states/eV/cell.

The structure belongs to space group I4/m (No. 87); the cell edges are 6.2347, 6.2347 and 3.9753 Å and the angles 90.00°, 90.00° and 90.00°. Symmetry generates all atoms from Zn at (0.0986, 0.3035, 0.0000) and P at (0.0000, 0.0000, 0.5000).

=====

No. 9
The following is a GGA-PBE calculation of crystalline ZnP2 at its relaxed geometry, from Alexandria.

The calculation puts the uncorrected energy at -3.71 eV per atom. As for the formation enthalpy at 0 K: 0.32 eV per atom. The calculation puts the volume at 16.7 A^3/atom. Its density of states at the Fermi level is 1.3 states/eV/cell.

The structure belongs to space group P4/mmm (No. 123); the cell edges are 3.5771, 3.5771 and 3.9238 Å and the angles 90.00°, 90.00° and 90.00°. Symmetry generates all atoms from Zn at (0.0000, 0.0000, 0.0000) and P at (0.0000, 0.5000, 0.5000).

=====

No. 10
The following is a GGA-PBE calculation of crystalline Zn3P2 at its relaxed geometry, from Alexandria.

The calculation puts the uncorrected energy at -3.09 eV per atom. As for the formation enthalpy at 0 K: -0.16 eV per atom. The calculation puts the volume at 18.8 A^3/atom. Its density of states at the Fermi level is 1.1 states/eV/cell.

The structure belongs to space group Ia-3 (No. 206); the cell edges are 11.4583, 11.4583 and 11.4583 Å and the angles 90.00°, 90.00° and 90.00°. Symmetry generates all atoms from Zn at (0.1059, 0.1411, 0.6312), P at (0.0000, 0.2500, 0.4906) and P at (0.2500, 0.2500, 0.2500).

=====

No. 11
The following is a GGA-PBE calculation of crystalline ZnP2 at its relaxed geometry, from Alexandria.

The calculation puts the uncorrected energy at -3.75 eV per atom. As for the formation enthalpy at 0 K: 0.29 eV per atom. The calculation puts the volume at 17.8 A^3/atom. Its density of states at the Fermi level is 4.2 states/eV/cell.

The structure belongs to space group P-62m (No. 189); the cell edges are 7.5276, 7.5276 and 3.2611 Å and the angles 90.00°, 90.00° and 120.00°. Symmetry generates all atoms from Zn at (0.0000, 0.0000, 0.0000), Zn at (0.3333, 0.6667, 0.5000), P at (0.0000, 0.2953, 0.5000) and P at (0.0000, 0.5010, 0.0000).

=====

No. 12
The following is a GGA-PBE calculation of crystalline Zn2P at its relaxed geometry, from Alexandria.

The calculation puts the uncorrected energy at -2.62 eV per atom. As for the formation enthalpy at 0 K: 0.03 eV per atom. The calculation puts the volume at 17.6 A^3/atom. Its density of states at the Fermi level is 1.6 states/eV/cell.

The structure belongs to space group C2/m (No. 12); the cell edges are 6.6565, 4.8551 and 3.8940 Å and the angles 90.00°, 122.96° and 90.00°. Symmetry generates all atoms from Zn at (0.2217, 0.0000, 0.2392) and P at (0.0000, 0.5000, 0.0000).

=====

No. 13
The following is a GGA-PBE calculation of crystalline ZnP3 at its relaxed geometry, from Alexandria.

The calculation puts the uncorrected energy at -4.20 eV per atom. As for the formation enthalpy at 0 K: 0.17 eV per atom. The calculation puts the volume at 15.4 A^3/atom. Its density of states at the Fermi level is 1.5 states/eV/cell.

The structure belongs to space group P2/m (No. 10); the cell edges are 2.5219, 3.4898 and 7.0636 Å and the angles 90.00°, 97.06° and 90.00°. Symmetry generates all atoms from Zn at (0.0000, 0.0000, 0.0000), P at (0.0000, 0.0000, 0.5000) and P at (0.0862, 0.5000, 0.7374).

=====

No. 14
The following is a GGA-PBE calculation of crystalline Zn2P at its relaxed geometry, from Alexandria.

The calculation puts the uncorrected energy at -2.41 eV per atom. As for the formation enthalpy at 0 K: 0.24 eV per atom. The calculation puts the volume at 15.9 A^3/atom. Its density of states at the Fermi level is 2.8 states/eV/cell.

The structure belongs to space group I4/mmm (No. 139); the cell edges are 3.5108, 3.5108 and 7.7214 Å and the angles 90.00°, 90.00° and 90.00°. Symmetry generates all atoms from Zn at (0.0000, 0.0000, 0.1622) and P at (0.0000, 0.0000, 0.5000).

=====

No. 15
The following is a GGA-PBE calculation of crystalline ZnP3 at its relaxed geometry, from Alexandria.

The calculation puts the uncorrected energy at -4.13 eV per atom. As for the formation enthalpy at 0 K: 0.24 eV per atom. The calculation puts the volume at 16.4 A^3/atom. Its density of states at the Fermi level is 5.6 states/eV/cell.

The structure belongs to space group Pnma (No. 62); the cell edges are 5.9529, 6.1752 and 7.1318 Å and the angles 90.00°, 90.00° and 90.00°. Symmetry generates all atoms from Zn at (0.0877, 0.2500, 0.1253), P at (0.0822, 0.2500, 0.6063) and P at (0.2267, 0.0110, 0.3919).

=====

No. 16
The following is a GGA-PBE calculation of crystalline Zn3P2 at its relaxed geometry, from Alexandria.

The calculation puts the uncorrected energy at -2.80 eV per atom. As for the formation enthalpy at 0 K: 0.13 eV per atom. The calculation puts the volume at 17.0 A^3/atom. Its density of states at the Fermi level is 7.0 states/eV/cell.

The structure belongs to space group Fdd2 (No. 43); the cell edges are 10.3702, 12.9166 and 5.0754 Å and the angles 90.00°, 90.00° and 90.00°. Symmetry generates all atoms from Zn at (0.0000, 0.0000, 0.0000), Zn at (0.0540, 0.0874, 0.5140) and P at (0.0159, 0.2547, 0.2717).

=====

No. 17
The following is a GGA-PBE calculation of crystalline ZnP2 at its relaxed geometry, from Alexandria.

The calculation puts the uncorrected energy at -3.76 eV per atom. As for the formation enthalpy at 0 K: 0.27 eV per atom. The calculation puts the volume at 17.2 A^3/atom. Its density of states at the Fermi level is 1.3 states/eV/cell.

The structure belongs to space group P6_3/mmc (No. 194); the cell edges are 3.7898, 3.7898 and 8.3155 Å and the angles 90.00°, 90.00° and 120.00°. Symmetry generates all atoms from Zn at (0.0000, 0.0000, 0.2500) and P at (0.3333, 0.6667, 0.1095).

=====

No. 18
The following is a GGA-PBE calculation of crystalline Zn4P at its relaxed geometry, from Alexandria.

The calculation puts the uncorrected energy at -1.86 eV per atom. As for the formation enthalpy at 0 K: 0.24 eV per atom. The calculation puts the volume at 16.4 A^3/atom. Its density of states at the Fermi level is 3.1 states/eV/cell.

The structure belongs to space group I4/mmm (No. 139); the cell edges are 3.5957, 3.5957 and 12.7138 Å and the angles 90.00°, 90.00° and 90.00°. Symmetry generates all atoms from Zn at (0.0000, 0.0000, 0.0950), Zn at (0.0000, 0.5000, 0.2500) and P at (0.0000, 0.0000, 0.5000).

=====

No. 19
The following is a GGA-PBE calculation of crystalline ZnP2 at its relaxed geometry, from Alexandria.

The calculation puts the uncorrected energy at -3.78 eV per atom. As for the formation enthalpy at 0 K: 0.25 eV per atom. The calculation puts the volume at 17.8 A^3/atom. Its density of states at the Fermi level is 4.5 states/eV/cell.

The structure belongs to space group C2/m (No. 12); the cell edges are 10.5110, 3.1762 and 7.1715 Å and the angles 90.00°, 116.63° and 90.00°. Symmetry generates all atoms from Zn at (0.0218, 0.0000, 0.1969), P at (0.0962, 0.5000, 0.4859) and P at (0.2166, 0.5000, 0.0749).

=====

No. 20
The following is a GGA-PBE calculation of crystalline Zn3P2 at its relaxed geometry, from Alexandria.

The calculation puts the uncorrected energy at -3.11 eV per atom. As for the formation enthalpy at 0 K: -0.18 eV per atom. The calculation puts the volume at 18.8 A^3/atom. Its density of states at the Fermi level is 1.2 states/eV/cell.

The structure belongs to space group P4_2/nmc (No. 137, origin choice 2); the cell edges are 8.1207, 8.1207 and 11.4239 Å and the angles 90.00°, 90.00° and 90.00°. Symmetry generates all atoms from Zn at (0.0033, 0.7500, 0.1019), Zn at (0.0329, 0.2500, 0.6353), Zn at (0.0326, 0.7500, 0.6437), P at (0.0043, 0.5043, 0.2500), P at (0.2500, 0.2500, 0.4958) and P at (0.2500, 0.7500, 0.5039).